Density functional theory data (PBE) for a relaxed structure of Mn2AlTc.

Output
**Energy of formation**: -98.7 meV/atom
**Total magnetization**: 1.3 μB per formula unit
**Crystal system**: orthorhombic

The structure in CIF format:
```
data_Mn2AlTc
_chemical_formula_sum 'Mn4 Al2 Tc2'
_cell_length_a 2.9849
_cell_length_b 4.1106
_cell_length_c 8.1889
_cell_angle_alpha 90.00
_cell_angle_beta 90.00
_cell_angle_gamma 90.00
_space_group_name_H-M_alt 'I m m m'
_space_group_IT_number 71
_space_group_name_Hall '-I 2 2'
loop_
_atom_site_label
_atom_site_type_symbol
_atom_site_fract_x
_atom_site_fract_y
_atom_site_fract_z
Mn1 Mn 0.0000 0.0000 0.2456
Al1 Al 0.0000 0.5000 0.0000
Tc1 Tc 0.0000 0.5000 0.5000
```

---

Density functional theory data (PBE) for a relaxed structure of Mn2AlTc2.

Output
**Energy of formation**: 206.1 meV/atom
**Relative energy among the computed polymorphs**: 59 kJ/mol of formula units
**Total magnetization**: 0.0 μB per formula unit
**Crystal system**: tetragonal

The structure in CIF format:
```
data_Mn2AlTc2
_chemical_formula_sum 'Mn4 Al2 Tc4'
_cell_length_a 3.9783
_cell_length_b 3.9783
_cell_length_c 9.3704
_cell_angle_alpha 90.00
_cell_angle_beta 90.00
_cell_angle_gamma 90.00
_space_group_name_H-M_alt 'I 4/m m m'
_space_group_IT_number 139
_space_group_name_Hall '-I 4 2'
loop_
_atom_site_label
_atom_site_type_symbol
_atom_site_fract_x
_atom_site_fract_y
_atom_site_fract_z
Mn1 Mn 0.0000 0.0000 0.1100
Al1 Al 0.0000 0.0000 0.5000
Tc1 Tc 0.0000 0.5000 0.2500
```

---

Density functional theory data (PBE) for a relaxed structure of Mn2AlTc.

Output
**Energy of formation**: -165.8 meV/atom
**Total magnetization**: 0.4 μB per formula unit
**Crystal system**: orthorhombic

The structure in CIF format:
```
data_Mn2AlTc
_chemical_formula_sum 'Mn4 Al2 Tc2'
_cell_length_a 3.1479
_cell_length_b 4.1456
_cell_length_c 8.0732
_cell_angle_alpha 90.00
_cell_angle_beta 90.00
_cell_angle_gamma 90.00
_space_group_name_H-M_alt 'I m m 2'
_space_group_IT_number 44
loop_
_space_group_symop_operation_xyz
'x,y,z'
'-x,-y,z'
'-x,y,z'
'x,-y,z'
'x+1/2,y+1/2,z+1/2'
'-x+1/2,-y+1/2,z+1/2'
'-x+1/2,y+1/2,z+1/2'
'x+1/2,-y+1/2,z+1/2'
loop_
_atom_site_label
_atom_site_type_symbol
_atom_site_fract_x
_atom_site_fract_y
_atom_site_fract_z
Mn1 Mn 0.0000 0.0000 0.0000
Mn2 Mn 0.0000 0.5000 0.2651
Al1 Al 0.0000 0.0000 0.5090
Tc1 Tc 0.0000 0.5000 0.7479
```

---

> Which of these has the lowest total magnetization?

Mn2AlTc2

---

> The highest energy of formation belongs to which entry?

Mn2AlTc2

---

Please write out number 2 again, unchanged.
Density functional theory data (PBE) for a relaxed structure of Mn2AlTc2.

Output
**Energy of formation**: 206.1 meV/atom
**Relative energy among the computed polymorphs**: 59 kJ/mol of formula units
**Total magnetization**: 0.0 μB per formula unit
**Crystal system**: tetragonal

The structure in CIF format:
```
data_Mn2AlTc2
_chemical_formula_sum 'Mn4 Al2 Tc4'
_cell_length_a 3.9783
_cell_length_b 3.9783
_cell_length_c 9.3704
_cell_angle_alpha 90.00
_cell_angle_beta 90.00
_cell_angle_gamma 90.00
_space_group_name_H-M_alt 'I 4/m m m'
_space_group_IT_number 139
_space_group_name_Hall '-I 4 2'
loop_
_atom_site_label
_atom_site_type_symbol
_atom_site_fract_x
_atom_site_fract_y
_atom_site_fract_z
Mn1 Mn 0.0000 0.0000 0.1100
Al1 Al 0.0000 0.0000 0.5000
Tc1 Tc 0.0000 0.5000 0.2500
```